1.
VASP calculation (PBE-GGA) on crystalline Fe2BiSb at its relaxed geometry.

Values from the calculation:
The electronic total energy is -5.71 eV/atom. The total magnetization comes out at 3.59 μB per formula unit.

Cell: 6.4873 6.4873 6.4873 Å, 90.00 90.00 90.00°
Fractional positions:
Fe 0.2288 0.2288 0.2288
Fe 0.2288 0.2288 0.7712
Fe 0.2288 0.7712 0.2288
Fe 0.2288 0.7712 0.7712
Fe 0.7712 0.2288 0.2288
Fe 0.7712 0.2288 0.7712
Fe 0.7712 0.7712 0.2288
Fe 0.7712 0.7712 0.7712
Bi 0.0000 0.5000 0.5000
Bi 0.5000 0.0000 0.5000
Bi 0.5000 0.5000 0.0000
Bi 0.5000 0.5000 0.5000
Sb 0.0000 0.0000 0.0000
Sb 0.0000 0.0000 0.5000
Sb 0.0000 0.5000 0.0000
Sb 0.5000 0.0000 0.0000


2.
VASP calculation (PBE-GGA) on crystalline Fe2BiSb at its relaxed geometry.

Values from the calculation:
The electronic total energy is -5.70 eV/atom. The total magnetization comes out at 3.61 μB per formula unit.

Cell: 6.4856 6.4856 6.4856 Å, 90.00 90.00 90.00°
Fractional positions:
Fe 0.2294 0.2294 0.2294
Fe 0.2294 0.2294 0.7706
Fe 0.2294 0.7706 0.2294
Fe 0.2294 0.7706 0.7706
Fe 0.7706 0.2294 0.2294
Fe 0.7706 0.2294 0.7706
Fe 0.7706 0.7706 0.2294
Fe 0.7706 0.7706 0.7706
Bi 0.0000 0.5000 0.5000
Bi 0.5000 0.0000 0.5000
Bi 0.5000 0.5000 0.0000
Bi 0.5000 0.5000 0.5000
Sb 0.0000 0.0000 0.0000
Sb 0.0000 0.0000 0.5000
Sb 0.0000 0.5000 0.0000
Sb 0.5000 0.0000 0.0000


3.
VASP calculation (PBE-GGA) on crystalline Ta2Fe2BiSb at its relaxed geometry.

Values from the calculation:
The electronic total energy is -8.17 eV/atom. The total magnetization comes out at 0.00 μB per formula unit.

Cell: 10.4086 4.2456 10.4195 Å, 90.00 109.50 90.00°
Fractional positions:
Ta 0.0000 0.0000 0.0000
Ta 0.1224 0.5000 0.3836
Ta 0.2452 0.0000 0.7507
Ta 0.3722 0.5000 0.1277
Ta 0.4970 0.0000 0.5033
Ta 0.6198 0.5000 0.8753
Ta 0.7472 0.0000 0.2581
Ta 0.8748 0.5000 0.6262
Fe 0.0011 0.0000 0.7515
Fe 0.1240 0.5000 0.1232
Fe 0.2452 0.0000 0.5064
Fe 0.3684 0.5000 0.8740
Fe 0.5017 0.0000 0.2573
Fe 0.6177 0.5000 0.6238
Fe 0.7465 0.0000 0.0020
Fe 0.8734 0.5000 0.3844
Bi 0.2471 0.0000 0.2544
Bi 0.4967 0.0000 0.0030
Bi 0.7481 0.0000 0.7517
Bi 0.8731 0.5000 0.1291
Sb 0.1228 0.5000 0.8763
Sb 0.3717 0.5000 0.6279
Sb 0.6220 0.5000 0.3791
Sb 0.9973 0.0000 0.5035


4.
VASP calculation (PBE-GGA) on crystalline ScFe2Bi at its relaxed geometry.

Values from the calculation:
The electronic total energy is -6.57 eV/atom. The total magnetization comes out at 4.65 μB per formula unit.

Cell: 6.5175 6.5175 6.5175 Å, 90.00 90.00 90.00°
Fractional positions:
Sc 0.0000 0.0000 0.0000
Sc 0.0000 0.5000 0.5000
Sc 0.5000 0.0000 0.5000
Sc 0.5000 0.5000 0.0000
Fe 0.0000 0.0000 0.5000
Fe 0.0000 0.5000 0.0000
Fe 0.2500 0.2500 0.2500
Fe 0.2500 0.7500 0.7500
Fe 0.5000 0.0000 0.0000
Fe 0.5000 0.5000 0.5000
Fe 0.7500 0.2500 0.7500
Fe 0.7500 0.7500 0.2500
Bi 0.2500 0.2500 0.7500
Bi 0.2500 0.7500 0.2500
Bi 0.7500 0.2500 0.2500
Bi 0.7500 0.7500 0.7500


5.
VASP calculation (PBE-GGA) on crystalline ScFeBi2 at its relaxed geometry.

Values from the calculation:
The electronic total energy is -5.37 eV/atom. The total magnetization comes out at 1.58 μB per formula unit.

Cell: 7.1349 7.1349 7.1349 Å, 90.00 90.00 90.00°
Fractional positions:
Sc 0.0000 0.0000 0.0000
Sc 0.0000 0.5000 0.5000
Sc 0.5000 0.0000 0.5000
Sc 0.5000 0.5000 0.0000
Fe 0.2500 0.2500 0.7500
Fe 0.2500 0.7500 0.2500
Fe 0.7500 0.2500 0.2500
Fe 0.7500 0.7500 0.7500
Bi 0.0000 0.0000 0.5000
Bi 0.0000 0.5000 0.0000
Bi 0.2500 0.2500 0.2500
Bi 0.2500 0.7500 0.7500
Bi 0.5000 0.0000 0.0000
Bi 0.5000 0.5000 0.5000
Bi 0.7500 0.2500 0.7500
Bi 0.7500 0.7500 0.2500


6.
VASP calculation (PBE-GGA) on crystalline ScFeBi2 at its relaxed geometry.

Values from the calculation:
The electronic total energy is -5.37 eV/atom. The total magnetization comes out at 1.58 μB per formula unit.

Cell: 7.1411 7.1411 7.1411 Å, 90.00 90.00 90.00°
Fractional positions:
Sc 0.0000 0.0000 0.0000
Sc 0.0000 0.5000 0.5000
Sc 0.5000 0.0000 0.5000
Sc 0.5000 0.5000 0.0000
Fe 0.2500 0.2500 0.2500
Fe 0.2500 0.7500 0.7500
Fe 0.7500 0.2500 0.7500
Fe 0.7500 0.7500 0.2500
Bi 0.0000 0.0000 0.5000
Bi 0.0000 0.5000 0.0000
Bi 0.2500 0.2500 0.7500
Bi 0.2500 0.7500 0.2500
Bi 0.5000 0.0000 0.0000
Bi 0.5000 0.5000 0.5000
Bi 0.7500 0.2500 0.2500
Bi 0.7500 0.7500 0.7500


7.
VASP calculation (PBE-GGA) on crystalline YScFeBi at its relaxed geometry.

Values from the calculation:
The relative energy among the computed polymorphs comes out at 0.0000 eV per atom. The electronic total energy is -6.17 eV/atom. The total magnetization comes out at 0.29 μB per formula unit.

Cell: 6.9765 6.9765 6.9765 Å, 90.00 90.00 90.00°
Fractional positions:
Y 0.0000 0.0000 0.0000
Y 0.0000 0.5000 0.5000
Y 0.5000 0.0000 0.5000
Y 0.5000 0.5000 0.0000
Sc 0.2500 0.2500 0.2500
Sc 0.2500 0.7500 0.7500
Sc 0.7500 0.2500 0.7500
Sc 0.7500 0.7500 0.2500
Fe 0.2500 0.2500 0.7500
Fe 0.2500 0.7500 0.2500
Fe 0.7500 0.2500 0.2500
Fe 0.7500 0.7500 0.7500
Bi 0.0000 0.0000 0.5000
Bi 0.0000 0.5000 0.0000
Bi 0.5000 0.0000 0.0000
Bi 0.5000 0.5000 0.5000


8.
VASP calculation (PBE-GGA) on crystalline ZrScFeBi at its relaxed geometry.

Values from the calculation:
The relative energy among the computed polymorphs comes out at 0.0000 eV per atom. The electronic total energy is -6.63 eV/atom. The total magnetization comes out at 1.83 μB per formula unit.

Cell: 6.8005 6.8005 6.8005 Å, 90.00 90.00 90.00°
Fractional positions:
Zr 0.0000 0.0000 0.0000
Zr 0.0000 0.5000 0.5000
Zr 0.5000 0.0000 0.5000
Zr 0.5000 0.5000 0.0000
Sc 0.2500 0.2500 0.2500
Sc 0.2500 0.7500 0.7500
Sc 0.7500 0.2500 0.7500
Sc 0.7500 0.7500 0.2500
Fe 0.2500 0.2500 0.7500
Fe 0.2500 0.7500 0.2500
Fe 0.7500 0.2500 0.2500
Fe 0.7500 0.7500 0.7500
Bi 0.0000 0.0000 0.5000
Bi 0.0000 0.5000 0.0000
Bi 0.5000 0.0000 0.0000
Bi 0.5000 0.5000 0.5000


9.
VASP calculation (PBE-GGA) on crystalline Fe2Bi8Se at its relaxed geometry.

Values from the calculation:
The electronic total energy is -4.50 eV/atom. The total magnetization comes out at 4.15 μB per formula unit.

Cell: 11.1216 11.1216 9.6423 Å, 90.00 90.00 90.00°
Fractional positions:
Fe 0.2057 0.2057 0.2414
Fe 0.2057 0.2057 0.7586
Fe 0.2943 0.7057 0.2586
Fe 0.2943 0.7057 0.7414
Fe 0.7057 0.2943 0.2586
Fe 0.7057 0.2943 0.7414
Fe 0.7943 0.7943 0.2414
Fe 0.7943 0.7943 0.7586
Bi 0.0000 0.0000 0.3250
Bi 0.0000 0.0000 0.6750
Bi 0.0492 0.7080 0.1985
Bi 0.0492 0.7080 0.8015
Bi 0.1068 0.1068 0.0000
Bi 0.1854 0.1854 0.5000
Bi 0.1954 0.8046 0.5000
Bi 0.2080 0.4508 0.3015
Bi 0.2080 0.4508 0.6985
Bi 0.2920 0.9508 0.1985
Bi 0.2920 0.9508 0.8015
Bi 0.3046 0.3046 0.0000
Bi 0.3146 0.6854 0.0000
Bi 0.3932 0.6068 0.5000
Bi 0.4508 0.2080 0.3015
Bi 0.4508 0.2080 0.6985
Bi 0.5000 0.5000 0.1750
Bi 0.5000 0.5000 0.8250
Bi 0.5492 0.7920 0.3015
Bi 0.5492 0.7920 0.6985
Bi 0.6068 0.3932 0.5000
Bi 0.6854 0.3146 0.0000
Bi 0.6954 0.6954 0.0000
Bi 0.7080 0.0492 0.1985
Bi 0.7080 0.0492 0.8015
Bi 0.7920 0.5492 0.3015
Bi 0.7920 0.5492 0.6985
Bi 0.8046 0.1954 0.5000
Bi 0.8146 0.8146 0.5000
Bi 0.8932 0.8932 0.0000
Bi 0.9508 0.2920 0.1985
Bi 0.9508 0.2920 0.8015
Se 0.0000 0.5000 0.0000
Se 0.0000 0.5000 0.5000
Se 0.5000 0.0000 0.0000
Se 0.5000 0.0000 0.5000


10.
VASP calculation (PBE-GGA) on crystalline FeSi2Bi at its relaxed geometry.

Values from the calculation:
The electronic total energy is -5.04 eV/atom. The total magnetization comes out at 1.54 μB per formula unit.

Cell: 6.4900 6.4900 6.4900 Å, 90.00 90.00 90.00°
Fractional positions:
Fe 0.0000 0.0000 0.0000
Fe 0.0000 0.5000 0.5000
Fe 0.5000 0.0000 0.5000
Fe 0.5000 0.5000 0.0000
Si 0.0000 0.0000 0.5000
Si 0.0000 0.5000 0.0000
Si 0.2500 0.2500 0.2500
Si 0.2500 0.7500 0.7500
Si 0.5000 0.0000 0.0000
Si 0.5000 0.5000 0.5000
Si 0.7500 0.2500 0.7500
Si 0.7500 0.7500 0.2500
Bi 0.2500 0.2500 0.7500
Bi 0.2500 0.7500 0.2500
Bi 0.7500 0.2500 0.2500
Bi 0.7500 0.7500 0.7500


11.
VASP calculation (PBE-GGA) on crystalline Fe2SnBi at its relaxed geometry.

Values from the calculation:
The electronic total energy is -5.65 eV/atom. The total magnetization comes out at 3.63 μB per formula unit.

Cell: 6.4371 6.4371 6.4371 Å, 90.00 90.00 90.00°
Fractional positions:
Fe 0.2383 0.2383 0.2383
Fe 0.2383 0.2383 0.7617
Fe 0.2383 0.7617 0.2383
Fe 0.2383 0.7617 0.7617
Fe 0.7617 0.2383 0.2383
Fe 0.7617 0.2383 0.7617
Fe 0.7617 0.7617 0.2383
Fe 0.7617 0.7617 0.7617
Sn 0.0000 0.0000 0.0000
Sn 0.0000 0.0000 0.5000
Sn 0.0000 0.5000 0.0000
Sn 0.5000 0.0000 0.0000
Bi 0.0000 0.5000 0.5000
Bi 0.5000 0.0000 0.5000
Bi 0.5000 0.5000 0.0000
Bi 0.5000 0.5000 0.5000


12.
VASP calculation (PBE-GGA) on crystalline Fe3Sn2Bi2 at its relaxed geometry.

Values from the calculation:
The electronic total energy is -5.44 eV/atom. The total magnetization comes out at 7.03 μB per formula unit.

Cell: 7.9501 7.9501 7.9501 Å, 34.61 34.61 34.61°
Fractional positions:
Fe 0.0000 0.0000 0.0000
Fe 0.2541 0.2541 0.2541
Fe 0.5096 0.5096 0.5096
Sn 0.1272 0.1272 0.1272
Sn 0.6313 0.6313 0.6313
Bi 0.3826 0.3826 0.3826
Bi 0.8754 0.8754 0.8754


13.
VASP calculation (PBE-GGA) on crystalline Fe2SnBi at its relaxed geometry.

Values from the calculation:
The electronic total energy is -5.65 eV/atom. The total magnetization comes out at 3.63 μB per formula unit.

Cell: 6.4371 6.4371 6.4371 Å, 90.00 90.00 90.00°
Fractional positions:
Fe 0.2384 0.2384 0.2384
Fe 0.2384 0.2384 0.7616
Fe 0.2384 0.7616 0.2384
Fe 0.2384 0.7616 0.7616
Fe 0.7616 0.2384 0.2384
Fe 0.7616 0.2384 0.7616
Fe 0.7616 0.7616 0.2384
Fe 0.7616 0.7616 0.7616
Sn 0.0000 0.0000 0.0000
Sn 0.0000 0.0000 0.5000
Sn 0.0000 0.5000 0.0000
Sn 0.5000 0.0000 0.0000
Bi 0.0000 0.5000 0.5000
Bi 0.5000 0.0000 0.5000
Bi 0.5000 0.5000 0.0000
Bi 0.5000 0.5000 0.5000


14.
VASP calculation (PBE-GGA) on crystalline Sr2FeBi at its relaxed geometry.

Values from the calculation:
The electronic total energy is -3.61 eV/atom. The total magnetization comes out at 1.85 μB per formula unit.

Cell: 7.4821 7.4821 7.4821 Å, 90.00 90.00 90.00°
Fractional positions:
Sr 0.0000 0.0000 0.0000
Sr 0.0000 0.5000 0.5000
Sr 0.2500 0.2500 0.2500
Sr 0.2500 0.7500 0.7500
Sr 0.5000 0.0000 0.5000
Sr 0.5000 0.5000 0.0000
Sr 0.7500 0.2500 0.7500
Sr 0.7500 0.7500 0.2500
Fe 0.2500 0.2500 0.7500
Fe 0.2500 0.7500 0.2500
Fe 0.7500 0.2500 0.2500
Fe 0.7500 0.7500 0.7500
Bi 0.0000 0.0000 0.5000
Bi 0.0000 0.5000 0.0000
Bi 0.5000 0.0000 0.0000
Bi 0.5000 0.5000 0.5000


15.
VASP calculation (PBE-GGA) on crystalline SrFeBi2 at its relaxed geometry.

Values from the calculation:
The electronic total energy is -4.24 eV/atom. The total magnetization comes out at 2.69 μB per formula unit.

Cell: 7.7233 7.7233 7.7233 Å, 90.00 90.00 90.00°
Fractional positions:
Sr 0.0000 0.0000 0.0000
Sr 0.0000 0.5000 0.5000
Sr 0.5000 0.0000 0.5000
Sr 0.5000 0.5000 0.0000
Fe 0.2500 0.2500 0.7500
Fe 0.2500 0.7500 0.2500
Fe 0.7500 0.2500 0.2500
Fe 0.7500 0.7500 0.7500
Bi 0.0000 0.0000 0.5000
Bi 0.0000 0.5000 0.0000
Bi 0.2500 0.2500 0.2500
Bi 0.2500 0.7500 0.7500
Bi 0.5000 0.0000 0.0000
Bi 0.5000 0.5000 0.5000
Bi 0.7500 0.2500 0.7500
Bi 0.7500 0.7500 0.2500


16.
VASP calculation (PBE-GGA) on crystalline TaFe2Bi at its relaxed geometry.

Values from the calculation:
The electronic total energy is -7.55 eV/atom. The total magnetization comes out at 3.84 μB per formula unit.

Cell: 6.4286 6.4286 6.4286 Å, 90.00 90.00 90.00°
Fractional positions:
Ta 0.0000 0.0000 0.0000
Ta 0.0000 0.5000 0.5000
Ta 0.5000 0.0000 0.5000
Ta 0.5000 0.5000 0.0000
Fe 0.0000 0.0000 0.5000
Fe 0.0000 0.5000 0.0000
Fe 0.2500 0.2500 0.2500
Fe 0.2500 0.7500 0.7500
Fe 0.5000 0.0000 0.0000
Fe 0.5000 0.5000 0.5000
Fe 0.7500 0.2500 0.7500
Fe 0.7500 0.7500 0.2500
Bi 0.2500 0.2500 0.7500
Bi 0.2500 0.7500 0.2500
Bi 0.7500 0.2500 0.2500
Bi 0.7500 0.7500 0.7500


17.
VASP calculation (PBE-GGA) on crystalline TaFeBi2 at its relaxed geometry.

Values from the calculation:
The electronic total energy is -6.17 eV/atom. The total magnetization comes out at 2.85 μB per formula unit.

Cell: 6.9918 6.9918 6.9918 Å, 90.00 90.00 90.00°
Fractional positions:
Ta 0.0000 0.0000 0.0000
Ta 0.0000 0.5000 0.5000
Ta 0.5000 0.0000 0.5000
Ta 0.5000 0.5000 0.0000
Fe 0.2500 0.2500 0.2500
Fe 0.2500 0.7500 0.7500
Fe 0.7500 0.2500 0.7500
Fe 0.7500 0.7500 0.2500
Bi 0.0000 0.0000 0.5000
Bi 0.0000 0.5000 0.0000
Bi 0.2500 0.2500 0.7500
Bi 0.2500 0.7500 0.2500
Bi 0.5000 0.0000 0.0000
Bi 0.5000 0.5000 0.5000
Bi 0.7500 0.2500 0.2500
Bi 0.7500 0.7500 0.7500


18.
VASP calculation (PBE-GGA) on crystalline TaFeTcBi at its relaxed geometry.

Values from the calculation:
The relative energy among the computed polymorphs comes out at 0.2793 eV per atom. The electronic total energy is -8.03 eV/atom. The total magnetization comes out at 3.56 μB per formula unit.

Cell: 6.5380 6.5380 6.5380 Å, 90.00 90.00 90.00°
Fractional positions:
Ta 0.0000 0.0000 0.0000
Ta 0.0000 0.5000 0.5000
Ta 0.5000 0.0000 0.5000
Ta 0.5000 0.5000 0.0000
Fe 0.0000 0.0000 0.5000
Fe 0.0000 0.5000 0.0000
Fe 0.5000 0.0000 0.0000
Fe 0.5000 0.5000 0.5000
Tc 0.2500 0.2500 0.7500
Tc 0.2500 0.7500 0.2500
Tc 0.7500 0.2500 0.2500
Tc 0.7500 0.7500 0.7500
Bi 0.2500 0.2500 0.2500
Bi 0.2500 0.7500 0.7500
Bi 0.7500 0.2500 0.7500
Bi 0.7500 0.7500 0.2500


19.
VASP calculation (PBE-GGA) on crystalline TaFeTcBi at its relaxed geometry.

Values from the calculation:
The relative energy among the computed polymorphs comes out at 0.0000 eV per atom. The electronic total energy is -8.31 eV/atom. The total magnetization comes out at 1.00 μB per formula unit.

Cell: 6.4232 6.4232 6.4232 Å, 90.00 90.00 90.00°
Fractional positions:
Ta 0.0000 0.0000 0.0000
Ta 0.0000 0.5000 0.5000
Ta 0.5000 0.0000 0.5000
Ta 0.5000 0.5000 0.0000
Fe 0.2500 0.2500 0.7500
Fe 0.2500 0.7500 0.2500
Fe 0.7500 0.2500 0.2500
Fe 0.7500 0.7500 0.7500
Tc 0.2500 0.2500 0.2500
Tc 0.2500 0.7500 0.7500
Tc 0.7500 0.2500 0.7500
Tc 0.7500 0.7500 0.2500
Bi 0.0000 0.0000 0.5000
Bi 0.0000 0.5000 0.0000
Bi 0.5000 0.0000 0.0000
Bi 0.5000 0.5000 0.5000


20.
VASP calculation (PBE-GGA) on crystalline ZrTaFeBi at its relaxed geometry.

Values from the calculation:
The relative energy among the computed polymorphs comes out at 0.0000 eV per atom. The electronic total energy is -7.70 eV/atom. The total magnetization comes out at 2.77 μB per formula unit.

Cell: 6.7484 6.7484 6.7484 Å, 90.00 90.00 90.00°
Fractional positions:
Zr 0.0000 0.0000 0.0000
Zr 0.0000 0.5000 0.5000
Zr 0.5000 0.0000 0.5000
Zr 0.5000 0.5000 0.0000
Ta 0.2500 0.2500 0.2500
Ta 0.2500 0.7500 0.7500
Ta 0.7500 0.2500 0.7500
Ta 0.7500 0.7500 0.2500
Fe 0.2500 0.2500 0.7500
Fe 0.2500 0.7500 0.2500
Fe 0.7500 0.2500 0.2500
Fe 0.7500 0.7500 0.7500
Bi 0.0000 0.0000 0.5000
Bi 0.0000 0.5000 0.0000
Bi 0.5000 0.0000 0.0000
Bi 0.5000 0.5000 0.5000